KAlIN2 (PBE, relaxed); formation energy without anion corrections = 1757 meV per atom; Fermi-level density of states = 2.39 states/eV/f.u.; distance to the lowest polymorph of the same formula = 586 kJ/mol of formula units; electronic total energy = -2.851 eV/atom; total magnetization = 5.00 μB per formula unit; space group = No. 123
1.0
-4.5495 -2.0382 -1.4098
-0.5681 -2.0108 4.7406
-3.2655 5.8448 2.0877
I K Al N
1 1 1 2
Cartesian
-1.6328 2.9224 1.0439 I
0.0000 0.0000 0.0000 K
-4.1915 0.8979 2.7093 Al
-0.2841 -1.0054 2.3703 N
-2.2747 -1.0191 -0.7049 N